w | Here is an optimized crystal structure of Li3LaNi from Alexandria via LeMat-Bulk. Energies are from PBE.

Calculated values
DOS at the Fermi energy (states/eV per cell): 4.6
Size of the total moment (μB/atom): 0.000

Lattice parameters (Å, degrees): 4.8913 4.8913 4.8913 90.00 90.00 90.00
Closest atoms and distances in Å follow each position.
Space group Pm-3m (No. 221)
Inequivalent atoms, fractional coordinates:
Li 0.0000 0.0000 0.5000  2 La 2.45
La 0.0000 0.0000 0.0000  6 Li 2.45
Ni 0.5000 0.5000 0.5000  12 Li 3.46

x | Here is an optimized crystal structure of Li3LaNi from Alexandria via LeMat-Bulk. Energies are from PBE.

Calculated values
DOS at the Fermi energy (states/eV per cell): 3.0
Size of the total moment (μB/atom): 0.000

Lattice parameters (Å, degrees): 4.7003 4.7003 4.7003 90.00 90.00 90.00
Closest atoms and distances in Å follow each position.
Space group Pm-3m (No. 221)
Inequivalent atoms, fractional coordinates:
Li 0.0000 0.0000 0.5000  2 Ni 2.35
La 0.5000 0.5000 0.5000  12 Li 3.32
Ni 0.0000 0.0000 0.0000  6 Li 2.35

Verdict on stability: x comes out on top.

w | Here is an optimized crystal structure of LiLa2ZnNi from Alexandria via LeMat-Bulk. Energies are from PBE.

Calculated values
DOS at the Fermi energy (states/eV per cell): 5.9
Size of the total moment (μB/atom): 0.000

Lattice parameters (Å, degrees): 5.3653 5.3653 4.6239 90.00 90.00 90.00
Closest atoms and distances in Å follow each position.
Space group P4/mmm (No. 123)
Inequivalent atoms, fractional coordinates:
Li 0.0000 0.0000 0.0000  2 Ni 2.31
La 0.0000 0.5000 0.5000  2 Ni 2.68
Zn 0.5000 0.5000 0.0000  8 La 3.54, 4 Li 3.79
Ni 0.0000 0.0000 0.5000  2 Li 2.31

x | Here is an optimized crystal structure of LiLa2ZnNi from Alexandria via LeMat-Bulk. Energies are from PBE.

Calculated values
DOS at the Fermi energy (states/eV per cell): 5.0
Size of the total moment (μB/atom): 0.000

Lattice parameters (Å, degrees): 5.3957 5.3957 4.7145 90.00 90.00 90.00
Closest atoms and distances in Å follow each position.
Space group P4/mmm (No. 123)
Inequivalent atoms, fractional coordinates:
Li 0.0000 0.0000 0.0000  8 La 3.58, 4 Zn 3.82
La 0.0000 0.5000 0.5000  2 Ni 2.70
Zn 0.5000 0.5000 0.0000  2 Ni 2.36
Ni 0.5000 0.5000 0.5000  2 Zn 2.36

Verdict on stability: x comes out on top.

w | Here is an optimized crystal structure of LiLa2OsO6 from Alexandria via LeMat-Bulk. Energies are from PBE.

Calculated values
Size of the total moment (μB/atom): 0.300

Lattice parameters (Å, degrees): 9.8117 5.5672 5.6704 90.00 125.20 90.00
Closest atoms and distances in Å follow each position.
Space group C2/m (No. 12)
Inequivalent atoms, fractional coordinates:
Li 0.0000 0.0000 0.0000  6 O 2.09-2.17
La 0.2489 0.5000 0.2626  5 O 2.37-2.49
Os 0.0000 0.5000 0.5000  6 O 1.98-1.99
O 0.0545 0.2544 0.3132  1 Os 1.98, 1 Li 2.09
O 0.2380 0.5000 0.8342  1 Os 1.99, 1 Li 2.17

x | Here is an optimized crystal structure of LiLa2OsO6 from Alexandria via LeMat-Bulk. Energies are from PBE.

Calculated values
Size of the total moment (μB/atom): 0.300

Lattice parameters (Å, degrees): 5.5796 5.8201 9.6581 90.00 125.00 90.00
Closest atoms and distances in Å follow each position.
Space group P2_1/c (No. 14)
Inequivalent atoms, fractional coordinates:
Li 0.0000 0.0000 0.0000  6 O 2.11-2.19
La 0.2362 0.0597 0.7487  6 O 2.41-2.67
Os 0.5000 0.0000 0.5000  6 O 1.99-2.00
O 0.1648 0.1896 0.4545  1 Os 1.99, 1 Li 2.18
O 0.2637 0.7151 0.4496  1 Os 2.00, 1 Li 2.19
O 0.3491 0.0287 0.2577  1 Os 1.99, 1 Li 2.11

Verdict on stability: x comes out on top.

w | Here is an optimized crystal structure of LiLa2RuO6 from Alexandria via LeMat-Bulk. Energies are from PBE.

Calculated values
Size of the total moment (μB/atom): 0.300

Lattice parameters (Å, degrees): 9.7483 5.5461 5.6609 90.00 125.22 90.00
Closest atoms and distances in Å follow each position.
Space group C2/m (No. 12)
Inequivalent atoms, fractional coordinates:
Li 0.0000 0.0000 0.0000  6 O 2.08-2.15
La 0.2487 0.5000 0.2613  5 O 2.37-2.49
Ru 0.0000 0.5000 0.5000  6 O 1.97-1.98
O 0.0533 0.2541 0.3122  1 Ru 1.97, 1 Li 2.08
O 0.2386 0.5000 0.8330  1 Ru 1.98, 1 Li 2.15

x | Here is an optimized crystal structure of LiLa2RuO6 from Alexandria via LeMat-Bulk. Energies are from PBE.

Calculated values
DOS at the Fermi energy (states/eV per cell): 0.0
Size of the total moment (μB/atom): 0.300

Lattice parameters (Å, degrees): 5.5636 5.8015 9.6295 90.00 125.09 90.00
Closest atoms and distances in Å follow each position.
Space group P2_1/c (No. 14)
Inequivalent atoms, fractional coordinates:
Li 0.0000 0.0000 0.0000  6 O 2.10-2.18
La 0.2369 0.0601 0.7488  6 O 2.40-2.67
Ru 0.5000 0.0000 0.5000  6 O 1.98-1.99
O 0.1658 0.1896 0.4552  1 Ru 1.98, 1 Li 2.18
O 0.2641 0.7150 0.4509  1 Ru 1.99, 1 Li 2.18
O 0.3469 0.0274 0.2574  1 Ru 1.98, 1 Li 2.10

Verdict on stability: x comes out on top.

w | Here is an optimized crystal structure of Sr2LiLaTaO6 from Alexandria via LeMat-Bulk. Energies are from PBE.

Calculated values
DOS at the Fermi energy (states/eV per cell): 4.4
Size of the total moment (μB/atom): 0.090

Lattice parameters (Å, degrees): 5.8362 5.8362 17.8094 90.00 90.00 120.00
Closest atoms and distances in Å follow each position.
Space group R3m (No. 160, hexagonal axes)
Inequivalent atoms, fractional coordinates:
Sr 0.0000 0.0000 0.0000  3 O 2.57
Sr 0.0000 0.0000 0.4100  3 O 2.51
Li 0.0000 0.0000 0.5828  3 O 1.93
La 0.0000 0.0000 0.2111  6 O 2.48-2.49
Ta 0.0000 0.0000 0.7216  6 O 1.94-2.13
O 0.0006 0.5003 0.4424  1 Ta 1.94
O 0.1744 0.3487 0.3099  1 Li 1.93, 1 Ta 2.13

x | Here is an optimized crystal structure of Sr2LiLaTaO6 from Alexandria via LeMat-Bulk. Energies are from PBE.

Calculated values
DOS at the Fermi energy (states/eV per cell): 9.6
Size of the total moment (μB/atom): 0.000

Lattice parameters (Å, degrees): 5.8914 5.8914 17.3737 90.00 90.00 120.00
Closest atoms and distances in Å follow each position.
Space group R3m (No. 160, hexagonal axes)
Inequivalent atoms, fractional coordinates:
Sr 0.0000 0.0000 0.0000  3 O 2.48
Sr 0.0000 0.0000 0.4726  3 O 2.57
Li 0.0000 0.0000 0.8234  3 O 1.97
La 0.0000 0.0000 0.6728  6 O 2.37-2.50, 1 Li 2.62
Ta 0.0000 0.0000 0.1862  6 O 1.96-2.13
O 0.0101 0.5051 0.9142  1 Ta 1.96
O 0.1736 0.3472 0.7740  1 Li 1.97, 1 Ta 2.13

y | Here is an optimized crystal structure of Sr2LiLaTaO6 from Alexandria via LeMat-Bulk. Energies are from PBE.

Calculated values
DOS at the Fermi energy (states/eV per cell): 7.2
Size of the total moment (μB/atom): 0.033

Lattice parameters (Å, degrees): 6.0293 6.2804 9.1160 90.00 90.00 90.00
Closest atoms and distances in Å follow each position.
Space group Immm (No. 71)
Inequivalent atoms, fractional coordinates:
Sr 0.0000 0.0000 0.1840  6 O 2.72-3.04, 1 Li 2.88
Li 0.0000 0.0000 0.5000  4 O 2.23
La 0.0000 0.5000 0.0000  6 O 2.33-2.51
Ta 0.0000 0.5000 0.5000  6 O 2.02-2.04
O 0.0000 0.5000 0.2758  1 Ta 2.04
O 0.2369 0.2722 0.5000  1 Ta 2.02, 1 Li 2.23

Verdict on stability: w comes out on top.